A plane-wave DFT calculation with PBE was carried out for a relaxed GaCoMoW crystal.

Output
For the energy relative to the lowest polymorph listed for this composition, the calculation gives 0.0 kJ/mol of atoms. Its space-group type is F-43m, No. 216. The value obtained for the total energy is -33.6 eV per cell.

abc: 4.322 4.322 4.322
angles: 60.00 60.00 60.00
Fractional positions:
Ga (0.000, 0.000, 0.000)
Co (0.250, 0.250, 0.250)
Mo (0.750, 0.750, 0.750)
W (0.500, 0.500, 0.500)

A plane-wave DFT calculation with PBE was carried out for a relaxed YGaCoMo crystal.

Output
For the energy relative to the lowest polymorph listed for this composition, the calculation gives 0.0 kJ/mol of atoms. Its space-group type is F-43m, No. 216. The value obtained for the total energy is -26.5 eV per cell.

abc: 4.574 4.574 4.574
angles: 60.00 60.00 60.00
Fractional positions:
Y (0.000, 0.000, 0.000)
Ga (0.500, 0.500, 0.500)
Co (0.750, 0.750, 0.750)
Mo (0.250, 0.250, 0.250)

A plane-wave DFT calculation with PBE was carried out for a relaxed YGaCoMo crystal.

Output
For the energy relative to the lowest polymorph listed for this composition, the calculation gives 10.2 kJ/mol of atoms. Its space-group type is F-43m, No. 216. The value obtained for the total energy is -26.1 eV per cell.

abc: 4.610 4.610 4.610
angles: 60.00 60.00 60.00
Fractional positions:
Y (0.000, 0.000, 0.000)
Ga (0.250, 0.250, 0.250)
Co (0.500, 0.500, 0.500)
Mo (0.750, 0.750, 0.750)

A plane-wave DFT calculation with PBE was carried out for a relaxed ZnGaCoMo crystal.

Output
For the energy relative to the lowest polymorph listed for this composition, the calculation gives 1.4 kJ/mol of atoms. Its space-group type is F-43m, No. 216. The value obtained for the total energy is -21.6 eV per cell.

abc: 4.264 4.264 4.264
angles: 60.00 60.00 60.00
Fractional positions:
Zn (0.000, 0.000, 0.000)
Ga (0.250, 0.250, 0.250)
Co (0.500, 0.500, 0.500)
Mo (0.750, 0.750, 0.750)

A plane-wave DFT calculation with PBE was carried out for a relaxed ZnGaCoMo crystal.

Output
For the energy relative to the lowest polymorph listed for this composition, the calculation gives 0.0 kJ/mol of atoms. Its space-group type is F-43m, No. 216. The value obtained for the total energy is -21.7 eV per cell.

abc: 4.271 4.271 4.271
angles: 60.00 60.00 60.00
Fractional positions:
Zn (0.000, 0.000, 0.000)
Ga (0.500, 0.500, 0.500)
Co (0.750, 0.750, 0.750)
Mo (0.250, 0.250, 0.250)

A plane-wave DFT calculation with PBE was carried out for a relaxed Nb4GaCoN2 crystal.

Output
Its space-group type is P-6m2, No. 187. The value obtained for the total energy is -71.5 eV per cell.

abc: 3.118 3.118 13.113
angles: 90.00 90.00 120.00
Fractional positions:
Nb (0.000, 0.000, 0.146)
Nb (0.000, 0.000, 0.854)
Nb (0.667, 0.333, 0.333)
Nb (0.667, 0.333, 0.667)
Ga (0.000, 0.000, 0.500)
Co (0.667, 0.333, 0.000)
N (0.333, 0.667, 0.239)
N (0.333, 0.667, 0.761)